Record 1
The following is a GGA-PBEsol calculation of a geometry-optimized TaCo2Ir structure, from Alexandria via LeMat-Bulk.

```
TaCo2Ir
1.0
2.687 0.000 0.000
0.000 3.590 0.000
0.000 0.000 5.303
Ta Co Ir
1 2 1
Cartesian
0.000 0.000 0.000
1.343 1.795 1.411
1.343 1.795 3.892
0.000 0.000 2.651
```

## Properties
Energy above the most stable polymorph in this dataset = 22.9 kJ/mol of atoms
Total DFT energy (no corrections) = -38.56 eV/cell
DOS at the Fermi energy = 4.212 states/eV/cell
E_form = -0.7 eV per formula unit
Spin magnetization = 0.06 μB per cell

Record 2
The following is a GGA-PBEsol calculation of a geometry-optimized Ta3CoIr structure, from Alexandria via LeMat-Bulk.

```
Ta3CoIr
1.0
4.447 0.000 0.000
0.000 4.447 0.000
0.000 0.000 4.447
Ta Co Ir
3 1 1
Cartesian
0.000 0.000 2.224
0.000 2.224 0.000
2.224 0.000 0.000
0.000 0.000 0.000
2.224 2.224 2.224
```

## Properties
Energy above the most stable polymorph in this dataset = 0.0 kJ/mol of atoms
Total DFT energy (no corrections) = -51.57 eV/cell
DOS at the Fermi energy = 5.095 states/eV/cell
E_form = 3.6 eV per formula unit
Spin magnetization = 0.00 μB per cell

Record 3
The following is a GGA-PBEsol calculation of a geometry-optimized TaCoIr2 structure, from Alexandria via LeMat-Bulk.

```
TaCoIr2
1.0
3.822 0.000 0.000
0.000 3.822 0.000
0.000 0.000 3.760
Ta Co Ir
1 1 2
Cartesian
0.000 0.000 0.000
1.911 1.911 0.000
0.000 1.911 1.880
1.911 0.000 1.880
```

## Properties
Total DFT energy (no corrections) = -42.13 eV/cell
DOS at the Fermi energy = 2.083 states/eV/cell
E_form = -2.2 eV per formula unit
Spin magnetization = 0.00 μB per cell

Record 4
The following is a GGA-PBEsol calculation of a geometry-optimized CoTc2Ir structure, from Alexandria via LeMat-Bulk.

```
CoTc2Ir
1.0
2.656 0.000 0.000
0.000 4.201 0.000
0.000 0.000 4.652
Co Tc Ir
1 2 1
Cartesian
0.000 0.000 0.000
1.328 0.000 2.251
1.328 2.101 0.715
0.000 2.101 3.126
```

## Properties
Energy above the most stable polymorph in this dataset = 0.0 kJ/mol of atoms
Total DFT energy (no corrections) = -40.79 eV/cell
DOS at the Fermi energy = 2.819 states/eV/cell
E_form = -0.7 eV per formula unit
Spin magnetization = 0.00 μB per cell

Record 5
The following is a GGA-PBEsol calculation of a geometry-optimized CoTc2Ir structure, from Alexandria via LeMat-Bulk.

```
CoTc2Ir
1.0
2.640 0.000 0.000
0.000 2.640 0.000
0.000 0.000 7.434
Co Tc Ir
1 2 1
Cartesian
0.000 0.000 0.000
1.320 1.320 1.757
1.320 1.320 5.677
0.000 0.000 3.717
```

## Properties
Energy above the most stable polymorph in this dataset = 12.5 kJ/mol of atoms
Total DFT energy (no corrections) = -40.28 eV/cell
DOS at the Fermi energy = 4.936 states/eV/cell
E_form = -0.2 eV per formula unit
Spin magnetization = 0.00 μB per cell

Record 6
The following is a GGA-PBEsol calculation of a geometry-optimized CoTc2Ir structure, from Alexandria via LeMat-Bulk.

```
CoTc2Ir
1.0
0.000 2.997 2.997
2.997 0.000 2.997
2.997 2.997 0.000
Co Tc Ir
1 2 1
Cartesian
0.000 0.000 0.000
1.499 1.499 1.499
4.496 4.496 4.496
2.997 2.997 2.997
```

## Properties
Energy above the most stable polymorph in this dataset = 55.8 kJ/mol of atoms
Total DFT energy (no corrections) = -38.48 eV/cell
DOS at the Fermi energy = 8.200 states/eV/cell
E_form = 1.6 eV per formula unit
Spin magnetization = 1.74 μB per cell

Record 7
The following is a GGA-PBEsol calculation of a geometry-optimized CoTcIr3 structure, from Alexandria via LeMat-Bulk.

```
CoTcIr3
1.0
4.328 0.000 0.000
0.000 4.328 0.000
0.000 0.000 4.328
Co Tc Ir
1 1 3
Cartesian
0.000 0.000 0.000
2.164 2.164 2.164
0.000 0.000 2.164
0.000 2.164 0.000
2.164 0.000 0.000
```

## Properties
Total DFT energy (no corrections) = -39.65 eV/cell
DOS at the Fermi energy = 10.909 states/eV/cell
E_form = 8.8 eV per formula unit
Spin magnetization = 3.02 μB per cell

Record 8
The following is a GGA-PBEsol calculation of a geometry-optimized CoTcIr structure, from Alexandria via LeMat-Bulk.

```
CoTcIr
1.0
0.000 2.855 2.855
2.855 0.000 2.855
2.855 2.855 0.000
Co Tc Ir
1 1 1
Cartesian
0.000 0.000 0.000
2.855 2.855 2.855
4.283 4.283 4.283
```

## Properties
Total DFT energy (no corrections) = -27.03 eV/cell
DOS at the Fermi energy = 4.741 states/eV/cell
E_form = 1.8 eV per formula unit
Spin magnetization = 2.11 μB per cell

Record 9
The following is a GGA-PBEsol calculation of a geometry-optimized CoTeIr2 structure, from Alexandria via LeMat-Bulk.

```
CoTeIr2
1.0
2.956 0.000 0.000
0.000 3.614 0.000
0.000 0.000 5.652
Co Te Ir
1 1 2
Cartesian
0.000 0.000 0.000
0.000 0.000 2.826
1.478 1.807 1.285
1.478 1.807 4.367
```

## Properties
Formation energy without anion corrections = 394 meV/atom
Energy above the most stable polymorph in this dataset = 5.6 kJ/mol of atoms
Total DFT energy (no corrections) = -29.33 eV/cell
DOS at the Fermi energy = 4.073 states/eV/cell
Spin magnetization = 1.99 μB per cell

Record 10
The following is a GGA-PBEsol calculation of a geometry-optimized CoTeIr2 structure, from Alexandria via LeMat-Bulk.

```
CoTeIr2
1.0
3.902 0.000 0.000
0.000 3.902 0.000
0.000 0.000 3.823
Co Te Ir
1 1 2
Cartesian
0.000 0.000 0.000
1.951 1.951 0.000
0.000 1.951 1.911
1.951 0.000 1.911
```

## Properties
Formation energy without anion corrections = 336 meV/atom
Energy above the most stable polymorph in this dataset = 0.0 kJ/mol of atoms
Total DFT energy (no corrections) = -29.57 eV/cell
DOS at the Fermi energy = 3.240 states/eV/cell
Spin magnetization = 0.00 μB per cell

Record 11
The following is a GGA-PBEsol calculation of a geometry-optimized CoTeIr2 structure, from Alexandria via LeMat-Bulk.

```
CoTeIr2
1.0
1.446 0.835 8.570
-1.446 0.835 8.570
0.000 -1.669 8.570
Co Te Ir
1 1 2
Cartesian
0.000 0.000 0.000
0.000 0.000 12.855
0.000 0.000 6.617
0.000 0.000 19.093
```

## Properties
Formation energy without anion corrections = 586 meV/atom
Energy above the most stable polymorph in this dataset = 24.1 kJ/mol of atoms
Total DFT energy (no corrections) = -28.57 eV/cell
DOS at the Fermi energy = 4.626 states/eV/cell
Spin magnetization = 2.63 μB per cell

Record 12
The following is a GGA-PBEsol calculation of a geometry-optimized Co2TeIr structure, from Alexandria via LeMat-Bulk.

```
Co2TeIr
1.0
2.954 0.000 0.000
0.000 3.493 0.000
0.000 0.000 5.442
Co Te Ir
2 1 1
Cartesian
0.000 0.000 0.000
1.477 1.746 1.184
1.477 1.746 4.093
0.000 0.000 2.466
```

## Properties
Formation energy without anion corrections = 363 meV/atom
Total DFT energy (no corrections) = -27.37 eV/cell
DOS at the Fermi energy = 4.769 states/eV/cell
Spin magnetization = 2.65 μB per cell